{
  "formula": "CeNdHoTm",
  "functional": "PBE",
  "state": "relaxed",
  "lattice": [[-3.548, -3.088, 3.159], [1.123, -0.880, 5.483], [-3.163, 2.505, 3.977]],
  "species": ["Tm", "Ce", "Nd", "Ho"],
  "frac_coords": [[0.500, 0.500, 0.500], [0.250, 0.250, 0.250], [0.750, 0.750, 0.750], [0.000, 0.000, 0.000]],
  "sg": "F-43m (216)",
  "magmom_total_mub_per_cell": 0.7,
  "energy_ev_per_cell": -19.14,
  "dos_ef_per_ev_cell": 9.485
}